Record 1
YAgIr (SCAN, PBEsol geometry); energy relative to the elements = -0.1908 eV/atom
1.0
4.5400 0.0000 0.0000
2.2700 3.9317 0.0000
2.2700 1.3106 3.7069
Ir Ag Y
1 1 1
direct
0.2500 0.2500 0.2500
0.5000 0.5000 0.5000
0.0000 0.0000 0.0000


Record 2
CaCuRe2 (SCAN, PBEsol geometry); energy relative to the elements = 0.4090 eV/atom
1.0
-2.1256 -1.6964 -0.2485
2.4523 -2.6641 -2.7890
1.5094 -0.5074 5.5569
Ca Re Cu
1 2 1
direct
0.5000 0.0000 0.0000
0.7192 0.7192 0.4383
0.2808 0.2808 0.5617
0.0000 0.5000 0.0000


Record 3
ZnCu4 (SCAN, PBEsol geometry); energy relative to the elements = -0.0528 eV/atom
1.0
-1.9437 -2.7452 1.3300
2.4051 -3.4187 1.3770
-0.7600 0.2517 4.3275
Zn Cu
1 4
direct
0.0000 0.0000 0.0000
0.4006 0.7976 0.4012
0.1982 0.4012 0.2024
0.5994 0.2024 0.5988
0.8018 0.5988 0.7976


Record 4
BaLiRh (SCAN, PBEsol geometry); energy relative to the elements = -0.0365 eV/atom
1.0
-3.0927 2.0902 -2.0772
0.4284 -2.7182 -3.3731
-2.7882 -0.9361 3.2092
Rh Ba Li
1 1 1
direct
0.0000 0.6667 0.3333
0.5000 0.0000 0.0000
0.0000 0.3333 0.6667


Record 5
CrTe2RuC (SCAN, PBEsol geometry); formation energy without anion corrections = 1748 meV per atom
1.0
4.6311 0.0000 0.0000
0.0000 5.0236 0.0000
0.0000 0.0000 5.0236
Ru C Te Cr
1 1 2 1
direct
0.0000 0.0000 0.0000
0.5000 0.5000 0.5000
0.0000 0.5000 0.0000
0.0000 0.0000 0.5000
0.5000 0.0000 0.0000


Record 6
CaCd2Ir (SCAN, PBEsol geometry); energy relative to the elements = -0.0910 eV/atom
1.0
3.1630 0.0000 0.0000
0.0000 3.7660 0.0000
0.0000 0.0000 6.8745
Ir Cd Ca
1 2 1
direct
0.0000 0.0000 0.4683
0.0000 0.0000 0.0395
0.5000 0.5000 0.2779
0.5000 0.5000 0.7143